(1)
This record from the Alexandria database describes a relaxed structure of Mn2O3F. The functional is PBE+U.

- Space group: P1, No. 1

abc: 4.584 9.652 6.081
angles: 71.49 89.93 89.06
Last column: magnetic moment on the atom in μB.
Fractional positions:
Mn  0.470  0.239  0.629  3.45
Mn  0.520  0.263  0.122  3.46
Mn  0.511  0.744  0.383  3.55
Mn  0.531  0.754  0.862  3.59
Mn  0.991  0.995  0.504  3.68
Mn  0.012  0.498  0.748  3.94
Mn  0.971  0.006  0.996  3.82
Mn  0.002  0.501  0.253  3.94
O  0.807  0.411  0.045  -0.18
O  0.807  0.901  0.796  -0.20
O  0.812  0.901  0.299  -0.17
O  0.679  0.155  0.926  -0.16
O  0.688  0.154  0.422  -0.16
O  0.700  0.651  0.671  -0.20
O  0.698  0.657  0.170  -0.13
O  0.300  0.341  0.830  -0.14
O  0.318  0.846  0.575  -0.17
O  0.301  0.344  0.329  -0.14
O  0.194  0.596  0.451  -0.17
O  0.186  0.090  0.706  -0.17
F  0.776  0.390  0.557  0.03
F  0.307  0.853  0.076  -0.01
F  0.218  0.610  0.947  0.04
F  0.201  0.103  0.204  0.00


(2)
This record from the Alexandria database describes a relaxed structure of Mn4O7F. The functional is PBE+U.

- Space group: Cc, No. 9

abc: 6.683 6.683 6.989
angles: 65.56 65.56 95.95
Last column: magnetic moment on the atom in μB.
Fractional positions:
Mn  0.460  0.464  0.836  3.72
Mn  0.060  0.554  0.142  3.41
Mn  0.554  0.060  0.642  3.41
Mn  0.936  0.944  0.361  3.47
Mn  0.049  0.563  0.647  3.47
Mn  0.464  0.460  0.336  3.72
Mn  0.944  0.936  0.861  3.47
Mn  0.563  0.049  0.147  3.47
O  0.026  0.855  0.609  -0.18
O  0.510  0.347  0.615  -0.12
O  0.150  0.477  0.887  -0.19
O  0.212  0.883  0.891  -0.19
O  0.347  0.510  0.115  -0.12
O  0.619  0.800  0.607  -0.20
O  0.883  0.212  0.391  -0.19
O  0.381  0.711  0.388  -0.19
O  0.800  0.619  0.107  -0.20
O  0.648  0.970  0.894  -0.15
O  0.711  0.381  0.888  -0.19
O  0.855  0.026  0.109  -0.18
O  0.477  0.150  0.387  -0.19
O  0.970  0.648  0.394  -0.15
F  0.282  0.101  0.123  0.00
F  0.101  0.282  0.623  0.00


Number 1: uncorrected energy -6.89 eV per atom. Number 2: uncorrected energy -6.97 eV per atom.